PBE Rb2PaNi2Se4, optimized geometry; ΔE_f (raw) = -0.99 eV per atom; magnetization = 0.000 μB per cell
1.0
-3.650 1.608 0.548
-0.026 -2.717 7.799
4.747 5.850 -0.333
Se Pa Rb Ni
4 1 2 2
Cartesian
-1.719 -1.001 6.276 Se
1.167 2.230 1.231 Se
-0.095 2.511 6.784 Se
2.791 5.742 1.739 Se
0.000 0.000 0.000 Pa
0.279 4.429 3.644 Rb
0.793 0.311 4.370 Rb
-0.806 0.488 7.983 Ni
1.878 4.253 0.031 Ni